{"formula": "Mn4V2Re", "functional": "PBE-GGA", "state": "optimized geometry", "ef_ev_per_atom": 1.1089, "sg": "I4/mmm (139)", "lattice": [[-2.231, 2.231, 6.291], [2.231, -2.231, 6.291], [2.231, 2.231, -6.291]], "species": ["Mn", "Mn", "Mn", "Mn", "V", "V", "Re"], "fractional_positions": [[0.000, 0.500, 0.500], [0.198, 0.198, 0.000], [0.500, 0.000, 0.500], [0.802, 0.802, 0.000], [0.390, 0.390, 0.000], [0.610, 0.610, 0.000], [0.000, 0.000, 0.000]]}